## P
DFT (GGA-PBE) results for a relaxed structure of NaSr3Ni.

POSCAR file:
```
NaSr3Ni
1.0
-4.970 0.229 1.592
2.117 -2.765 7.005
1.389 8.829 3.066
Sr Na Ni
6 2 2
Direct
0.750 0.984 0.140
0.250 0.016 0.860
0.750 0.516 0.140
0.250 0.484 0.860
0.750 0.250 0.579
0.250 0.750 0.421
0.250 0.250 0.289
0.750 0.750 0.711
0.750 0.250 0.893
0.250 0.750 0.107
```

## Q
DFT (GGA-PBE) results for a relaxed structure of NaSr3Ni.

POSCAR file:
```
NaSr3Ni
1.0
4.898 2.489 6.489
-6.077 -5.943 0.204
4.741 -4.906 -1.696
Sr Na Ni
6 2 2
Direct
0.053 0.449 0.250
0.551 0.947 0.250
0.449 0.053 0.750
0.947 0.551 0.750
0.000 0.000 0.000
0.000 0.000 0.500
0.564 0.436 0.250
0.436 0.564 0.750
0.161 0.839 0.250
0.839 0.161 0.750
```

Referenced to the most stable arrangement, the calculated values in eV/atom are P 0.000; Q 0.174.

## P
DFT (GGA-PBE) results for a relaxed structure of NaSr3Ni.

POSCAR file:
```
NaSr3Ni
1.0
-4.494 6.116 -2.836
0.660 0.003 -4.155
-6.549 -11.391 -1.035
Na Sr Ni
2 6 2
Direct
0.762 0.294 0.122
0.333 0.010 0.072
0.947 0.202 0.633
0.187 0.581 0.302
0.439 0.956 0.579
0.892 0.730 0.908
0.382 0.486 0.829
0.727 0.810 0.359
0.049 0.150 0.435
0.118 0.616 0.520
```

## Q
DFT (GGA-PBE) results for a relaxed structure of NaSr3Ni.

POSCAR file:
```
NaSr3Ni
1.0
-2.528 4.880 -5.669
-7.473 -1.389 2.136
-4.692 7.515 3.063
Sr Na Ni
6 2 2
Direct
0.144 0.885 0.230
0.115 0.856 0.770
0.115 0.374 0.770
0.626 0.885 0.230
0.357 0.357 0.286
0.643 0.643 0.714
0.624 0.124 0.752
0.876 0.376 0.248
0.000 0.000 0.000
0.250 0.750 0.500
```

Referenced to the most stable arrangement, the calculated values in eV/atom are P 0.000; Q 0.304.

## P
DFT (GGA-PBE) results for a relaxed structure of NaSr3Ni.

POSCAR file:
```
NaSr3Ni
1.0
1.408 -3.668 10.428
-8.125 -5.726 5.037
1.250 -10.900 1.952
Sr Na Ni
12 4 4
Direct
0.688 0.312 0.312
0.938 0.562 0.562
0.562 0.562 0.938
0.562 0.938 0.938
0.938 0.562 0.938
0.688 0.312 0.688
0.562 0.938 0.562
0.938 0.938 0.562
0.312 0.688 0.312
0.312 0.688 0.688
0.312 0.312 0.688
0.688 0.688 0.312
0.125 0.125 0.125
0.125 0.625 0.125
0.625 0.125 0.125
0.125 0.125 0.625
0.625 0.625 0.625
0.625 0.125 0.625
0.125 0.625 0.625
0.625 0.625 0.125
```

## Q
DFT (GGA-PBE) results for a relaxed structure of NaSr3Ni.

POSCAR file:
```
NaSr3Ni
1.0
-1.512 -7.843 -0.139
0.311 -1.259 3.992
-13.276 -1.930 0.400
Na Sr Ni
2 6 2
Direct
0.922 0.103 0.069
0.343 0.391 0.883
0.780 0.176 0.585
0.483 0.321 0.367
0.267 0.931 0.632
0.430 0.846 0.121
0.834 0.650 0.831
0.996 0.566 0.320
0.168 0.980 0.428
0.094 0.518 0.523
```

Referenced to the most stable arrangement, the calculated values in eV/atom are P 0.119; Q 0.000.